TaCu2Ir: relaxed, PBE.

Lattice parameters (Å, degrees): 2.8252 2.8252 7.0997 90.00 90.00 90.00
Space group P4/mmm (No. 123)
Unique sites:
Ta1 0.0000 0.0000 0.0000 [1 per cell]
Cu1 0.5000 0.5000 0.2632 [2 per cell]
Ir1 0.0000 0.0000 0.5000 [1 per cell]

- uncorrected energy (eV/atom) = -7.10
- V (Å³ per atom) = 14.2
- Fermi-level density of states (states/eV per atom) = 0.7090
- formation enthalpy at 0 K (eV per atom) = 0.13